Density functional theory data (PBE-GGA) for a relaxed structure of EuPaGe2.

Cell: 4.302 4.302 7.269 Å, 72.79 72.79 60.00°
Element x y z (fractional)
1 Eu 0.500 0.500 0.500
2 Pa 0.000 0.000 0.000
3 Ge 0.740 0.740 0.780
4 Ge 0.260 0.260 0.220

Values from the calculation:
The value obtained for the energy above the most stable polymorph in this dataset is 35 meV/atom. For the density of states at the Fermi level, the calculation gives 14.45 states/eV/cell. Its energy is -7.663 eV per atom.